Record 1
Mn2NiN2 after structural relaxation, computed with PBEsol.

The structure belongs to space group Pmmn (No. 59, origin choice 2); the cell edges are 2.808, 11.407 and 2.808 Å and the angles 90.00°, 90.00° and 90.00°. The distinct sites, in fractional coordinates, are Mn at (0.250, 0.090, 0.250), Ni at (0.250, 0.750, 0.249) and N at (0.250, 0.589, 0.250).

As for the density of states at the Fermi level: 0.554 states/eV per atom. The calculation puts the density at 7.3 Mg/m³. The formation energy without anion corrections comes out at -1.46 eV per formula unit. Its total magnetic moment is 10.6 μB/cell.

---

Record 2
BaMgPt3 after structural relaxation, computed with PBEsol.

The structure belongs to space group Pm-3m (No. 221); the cell edges are 4.796, 4.796 and 4.796 Å and the angles 90.00°, 90.00° and 90.00°. The distinct sites, in fractional coordinates, are Ba at (0.000, 0.000, 0.000), Mg at (0.500, 0.500, 0.500) and Pt at (0.000, 0.500, 0.500).

As for the density of states at the Fermi level: 0.451 states/eV per atom. The calculation puts the density at 11.2 Mg/m³. Its total magnetic moment is 0.0 μB/cell. As for the formation energy: 0.35 eV per formula unit.